No. 1
The following is a GGA-PBE calculation of Rb2TlRhBr6 after structural relaxation, from Alexandria.

Structure (CIF):
```
data_Rb2TlRhBr6
_chemical_formula_sum 'Rb8 Tl4 Rh4 Br24'
_space_group_name_H-M_alt 'F m -3 m'
_space_group_IT_number 225
_space_group_name_Hall '-F 4 2 3'
_cell_length_a 11.206
_cell_length_b 11.206
_cell_length_c 11.206
_cell_angle_alpha 90.00
_cell_angle_beta 90.00
_cell_angle_gamma 90.00
loop_
_atom_site_label
_atom_site_fract_x
_atom_site_fract_y
_atom_site_fract_z
Rb1 0.250 0.250 0.250
Tl1 0.000 0.000 0.000
Rh1 0.000 0.000 0.500
Br1 0.000 0.000 0.275
```

Mass density, g/cm3: 4.52
Formation energy from raw total energies, kJ per mole of atoms: -98.1
Uncorrected energy, eV/atom: -3.19

---

No. 2
The following is a GGA-PBE calculation of Rb2VRhBr6 after structural relaxation, from Alexandria.

Structure (CIF):
```
data_Rb2VRhBr6
_chemical_formula_sum 'Rb4 V2 Rh2 Br12'
_space_group_name_H-M_alt 'I 4/m m m'
_space_group_IT_number 139
_space_group_name_Hall '-I 4 2'
_cell_length_a 7.520
_cell_length_b 7.520
_cell_length_c 10.465
_cell_angle_alpha 90.00
_cell_angle_beta 90.00
_cell_angle_gamma 90.00
loop_
_atom_site_label
_atom_site_fract_x
_atom_site_fract_y
_atom_site_fract_z
Rb1 0.000 0.500 0.250
V1 0.000 0.000 0.000
Rh1 0.000 0.000 0.500
Br1 0.000 0.000 0.243
Br2 0.244 0.244 0.000
```

Mass density, g/cm3: 4.51
Formation energy from raw total energies, kJ per mole of atoms: -82.5
Uncorrected energy, eV/atom: -3.70

---

No. 3
The following is a GGA-PBE calculation of Rb2RhWBr6 after structural relaxation, from Alexandria.

Structure (CIF):
```
data_Rb2RhWBr6
_chemical_formula_sum 'Rb4 Rh2 W2 Br12'
_space_group_name_H-M_alt 'I 4/m m m'
_space_group_IT_number 139
_space_group_name_Hall '-I 4 2'
_cell_length_a 7.578
_cell_length_b 7.578
_cell_length_c 10.706
_cell_angle_alpha 90.00
_cell_angle_beta 90.00
_cell_angle_gamma 90.00
loop_
_atom_site_label
_atom_site_fract_x
_atom_site_fract_y
_atom_site_fract_z
Rb1 0.000 0.500 0.250
Rh1 0.000 0.000 0.000
W1 0.000 0.000 0.500
Br1 0.000 0.000 0.255
Br2 0.245 0.245 0.500
```

Mass density, g/cm3: 5.06
Formation energy from raw total energies, kJ per mole of atoms: -62.9
Uncorrected energy, eV/atom: -3.88

---

No. 4
The following is a GGA-PBE calculation of Rb2YRhBr6 after structural relaxation, from Alexandria.

Structure (CIF):
```
data_Rb2YRhBr6
_chemical_formula_sum 'Rb4 Y2 Rh2 Br12'
_space_group_name_H-M_alt 'I 4/m m m'
_space_group_IT_number 139
_space_group_name_Hall '-I 4 2'
_cell_length_a 7.809
_cell_length_b 7.809
_cell_length_c 11.078
_cell_angle_alpha 90.00
_cell_angle_beta 90.00
_cell_angle_gamma 90.00
loop_
_atom_site_label
_atom_site_fract_x
_atom_site_fract_y
_atom_site_fract_z
Rb1 0.000 0.500 0.250
Y1 0.000 0.000 0.000
Rh1 0.000 0.000 0.500
Br1 0.000 0.000 0.252
Br2 0.247 0.247 0.500
```

Mass density, g/cm3: 4.14
Formation energy from raw total energies, kJ per mole of atoms: -128.9
Uncorrected energy, eV/atom: -3.91

---

No. 5
The following is a GGA-PBE calculation of Rb2ZrRhBr6 after structural relaxation, from Alexandria.

Structure (CIF):
```
data_Rb2ZrRhBr6
_chemical_formula_sum 'Rb8 Zr4 Rh4 Br24'
_space_group_name_H-M_alt 'F m -3 m'
_space_group_IT_number 225
_space_group_name_Hall '-F 4 2 3'
_cell_length_a 10.872
_cell_length_b 10.872
_cell_length_c 10.872
_cell_angle_alpha 90.00
_cell_angle_beta 90.00
_cell_angle_gamma 90.00
loop_
_atom_site_label
_atom_site_fract_x
_atom_site_fract_y
_atom_site_fract_z
Rb1 0.250 0.250 0.250
Zr1 0.000 0.000 0.000
Rh1 0.000 0.000 0.500
Br1 0.000 0.000 0.247
```

Mass density, g/cm3: 4.37
Formation energy from raw total energies, kJ per mole of atoms: -105.8
Uncorrected energy, eV/atom: -3.88

---

No. 6
The following is a GGA-PBE calculation of RbRu2Br after structural relaxation, from Alexandria.

Structure (CIF):
```
data_RbRu2Br
_chemical_formula_sum 'Rb4 Ru8 Br4'
_space_group_name_H-M_alt 'F m -3 m'
_space_group_IT_number 225
_space_group_name_Hall '-F 4 2 3'
_cell_length_a 6.744
_cell_length_b 6.744
_cell_length_c 6.744
_cell_angle_alpha 90.00
_cell_angle_beta 90.00
_cell_angle_gamma 90.00
loop_
_atom_site_label
_atom_site_fract_x
_atom_site_fract_y
_atom_site_fract_z
Rb1 0.000 0.000 0.000
Ru1 0.250 0.250 0.250
Br1 0.000 0.000 0.500
```

Mass density, g/cm3: 7.96
Formation energy from raw total energies, kJ per mole of atoms: 166.2
E above lowest polymorph, eV/atom: 0.892
Uncorrected energy, eV/atom: -3.58

---

No. 7
The following is a GGA-PBE calculation of Rb2RuBr after structural relaxation, from Alexandria.

Structure (CIF):
```
data_Rb2RuBr
_chemical_formula_sum 'Rb8 Ru4 Br4'
_space_group_name_H-M_alt 'I -4 2 d'
_space_group_IT_number 122
_space_group_name_Hall 'I -4 2bw'
_cell_length_a 9.252
_cell_length_b 9.252
_cell_length_c 9.862
_cell_angle_alpha 90.00
_cell_angle_beta 90.00
_cell_angle_gamma 90.00
loop_
_atom_site_label
_atom_site_fract_x
_atom_site_fract_y
_atom_site_fract_z
Rb1 0.219 0.250 0.125
Ru1 0.000 0.000 0.500
Br1 0.000 0.000 0.000
```

Mass density, g/cm3: 2.77
Formation energy from raw total energies, kJ per mole of atoms: 43.0
Uncorrected energy, eV/atom: -2.78

---

No. 8
The following is a GGA-PBE calculation of Rb3RuBr6 after structural relaxation, from Alexandria.

Structure (CIF):
```
data_Rb3RuBr6
_chemical_formula_sum 'Rb6 Ru2 Br12'
_space_group_name_H-M_alt 'P 1 21/c 1'
_space_group_IT_number 14
_space_group_name_Hall '-P 2ybc'
_cell_length_a 7.952
_cell_length_b 8.217
_cell_length_c 13.730
_cell_angle_alpha 90.00
_cell_angle_beta 124.04
_cell_angle_gamma 90.00
loop_
_atom_site_label
_atom_site_fract_x
_atom_site_fract_y
_atom_site_fract_z
Rb1 0.000 0.000 0.000
Rb2 0.278 0.072 0.756
Ru1 0.500 0.000 0.500
Br1 0.193 0.021 0.289
Br2 0.290 0.667 0.051
Br3 0.392 0.239 0.051
```

Mass density, g/cm3: 3.74
Formation energy from raw total energies, kJ per mole of atoms: -108.2
E above lowest polymorph, eV/atom: 0.000
Uncorrected energy, eV/atom: -3.34